Entry 1:
Na2SrZn: relaxed, GGA-PBE.

Summary:
Mass density = 2.4 g cm⁻³
Energy of formation = 0.032 eV per atom

POSCAR file:
```
Na2SrZn
1.0
-5.446 1.215 -1.690
-0.146 -4.115 -2.489
-1.711 -2.283 3.874
Na Zn Sr
2 1 1
Direct
0.000 0.500 0.000
0.000 0.000 0.500
0.500 0.500 0.500
0.500 0.000 0.000
```



Entry 2:
Y4GaTe2S: relaxed, GGA-PBE.

Summary:
Mass density = 5.6 g cm⁻³
Calculated total energy = -6.261 eV per atom

POSCAR file:
```
Y4GaTe2S
1.0
-4.045 0.895 0.118
-0.456 -2.933 6.611
1.630 7.270 0.713
Te Y Ga S
2 4 1 1
Direct
0.500 0.000 0.500
0.000 0.500 0.500
0.000 0.740 0.222
0.500 0.760 0.785
0.000 0.260 0.778
0.500 0.240 0.215
0.500 0.500 0.000
0.000 0.000 0.000
```



Entry 3:
SbTe3: relaxed, GGA-PBE.

Summary:
Mass density = 6.5 g cm⁻³
Calculated total energy = -3.205 eV per atom

POSCAR file:
```
SbTe3
1.0
-3.673 3.442 4.505
-6.160 2.312 -1.527
3.710 -5.643 -0.127
Sb Te
1 3
Direct
0.000 0.000 0.000
0.500 0.500 0.000
0.816 0.316 0.500
0.184 0.684 0.500
```



Entry 4:
PAuICl2: relaxed, GGA-PBE.

Summary:
Mass density = 5.6 g cm⁻³
Calculated total energy = -2.389 eV per atom

POSCAR file:
```
PAuICl2
1.0
4.862 0.000 0.000
0.000 4.862 0.000
0.000 0.000 5.305
Cl Au I P
2 1 1 1
Direct
0.000 0.500 0.000
0.500 0.000 0.000
0.000 0.000 0.000
0.500 0.500 0.500
0.000 0.000 0.500
```



Entry 5:
BaZnCd: relaxed, GGA-PBE.

Summary:
Mass density = 5.1 g cm⁻³
Energy of formation = -0.090 eV per atom

POSCAR file:
```
BaZnCd
1.0
-2.733 -4.474 0.353
2.248 -4.563 -1.321
1.187 -3.518 3.719
Cd Ba Zn
1 1 1
Direct
0.500 0.500 0.500
0.000 0.000 0.000
0.750 0.750 0.750
```



Entry 6:
BaBrN2: relaxed, GGA-PBE.

Summary:
Mass density = 5.2 g cm⁻³
Calculated total energy = -3.266 eV per atom

POSCAR file:
```
BaBrN2
1.0
1.228 -6.489 3.911
4.049 -6.244 1.882
3.897 -4.468 4.876
N Ba Br
2 1 1
Direct
0.883 0.883 0.883
0.117 0.117 0.117
0.000 0.000 0.000
0.500 0.500 0.500
```



Entry 7:
Mg9Si5: relaxed, GGA-PBE.

Summary:
Mass density = 2.1 g cm⁻³
Calculated total energy = -2.978 eV per atom

POSCAR file:
```
Mg9Si5
1.0
7.087 -0.033 0.007
-3.513 6.299 0.004
-3.309 -1.941 12.659
Si Mg
10 18
Direct
0.102 0.835 0.318
0.417 0.194 0.303
0.190 0.124 0.944
0.419 0.752 0.787
0.380 0.064 0.123
0.635 0.354 0.618
0.993 0.045 0.643
0.816 0.907 0.347
0.836 0.461 0.927
0.204 0.637 0.457
0.061 0.444 0.632
0.072 0.214 0.119
0.617 0.852 0.143
0.606 0.454 0.082
0.021 0.757 0.790
0.577 0.699 0.622
0.388 0.567 0.307
0.095 0.653 0.128
0.847 0.297 0.284
0.806 0.148 0.781
0.545 0.063 0.951
0.248 0.531 0.943
0.301 0.943 0.621
0.782 0.803 0.948
0.211 0.240 0.473
0.422 0.348 0.785
0.625 0.043 0.470
0.783 0.569 0.456
```



Entry 8:
Y2H5Rh2: relaxed, GGA-PBE.

Summary:
Mass density = 6.8 g cm⁻³
Calculated total energy = -5.542 eV per atom

POSCAR file:
```
Y2H5Rh2
1.0
5.120 0.000 0.000
0.000 5.085 0.000
-2.560 -2.543 7.341
H Rh Y
10 4 4
Direct
0.250 0.259 0.000
0.750 0.259 0.000
0.750 0.759 0.000
0.250 0.759 0.000
0.388 0.383 0.747
0.141 0.136 0.253
0.859 0.883 0.747
0.612 0.636 0.253
0.000 0.510 0.500
0.000 0.010 0.500
0.500 0.509 0.000
0.722 0.760 0.500
0.000 0.009 0.000
0.278 0.260 0.500
0.130 0.640 0.260
0.370 0.880 0.740
0.630 0.140 0.260
0.870 0.380 0.740
```



Entry 9:
ScMo3W2: relaxed, GGA-PBE.

Summary:
Mass density = 11.6 g cm⁻³
Energy of formation = 0.036 eV per atom

POSCAR file:
```
ScMo3W2
1.0
3.185 0.000 0.000
0.000 3.185 0.000
0.000 0.000 9.867
W Sc Mo
2 1 3
Direct
0.500 0.500 0.163
0.500 0.500 0.837
0.500 0.500 0.500
0.000 0.000 0.685
0.000 0.000 0.000
0.000 0.000 0.315
```



Entry 10:
Pm5Hf3N8: relaxed, GGA-PBE.

Summary:
Mass density = 9.9 g cm⁻³
Calculated total energy = -9.095 eV per atom

POSCAR file:
```
Pm5Hf3N8
1.0
5.939 0.000 3.402
1.995 5.594 3.402
-0.026 -0.018 6.931
N Pm Hf
8 5 3
Direct
0.750 0.750 0.279
0.750 0.221 0.279
0.250 0.250 0.721
0.238 0.238 0.285
0.221 0.750 0.279
0.762 0.762 0.715
0.779 0.250 0.721
0.250 0.779 0.721
0.500 0.000 0.000
0.000 0.500 0.000
0.000 0.000 0.000
0.500 0.500 0.000
0.500 0.500 0.500
0.000 0.000 0.500
0.000 0.500 0.500
0.500 0.000 0.500
```



Entry 11:
Sc2TaTc: relaxed, GGA-PBE.

Summary:
Mass density = 7.8 g cm⁻³
Energy of formation = 0.011 eV per atom

POSCAR file:
```
Sc2TaTc
1.0
-0.545 -1.423 -2.582
-1.273 -1.392 2.329
-7.811 5.151 -1.191
Tc Sc Ta
1 2 1
Direct
0.500 0.500 0.739
0.000 0.000 0.961
0.500 0.500 0.269
0.000 0.000 0.532
```



Entry 12:
BaIrIN2: relaxed, GGA-PBE.

Summary:
Mass density = 7.9 g cm⁻³
Calculated total energy = -5.113 eV per atom

POSCAR file:
```
BaIrIN2
1.0
-3.206 -2.251 1.747
2.572 -1.156 3.232
-1.574 4.446 2.843
I N Ir Ba
1 2 1 1
Direct
0.000 0.000 0.500
0.500 0.000 0.000
0.000 0.500 0.000
0.000 0.000 0.000
0.500 0.500 0.500
```



Entry 13:
K6Sb2Pt: relaxed, GGA-PBE.

Summary:
Mass density = 3.3 g cm⁻³
Calculated total energy = -2.691 eV per atom

POSCAR file:
```
K6Sb2Pt
1.0
5.993 0.000 0.000
2.997 5.190 0.000
2.997 1.730 10.752
Sb K Pt
2 6 1
Direct
0.083 0.083 0.752
0.917 0.917 0.248
0.418 0.418 0.747
0.192 0.192 0.424
0.695 0.695 0.915
0.808 0.808 0.576
0.582 0.582 0.253
0.305 0.305 0.085
0.000 0.000 0.000
```



Entry 14:
LaPr7Tm12: relaxed, GGA-PBE.

Summary:
Mass density = 7.3 g cm⁻³
Energy of formation = 0.629 eV per atom

POSCAR file:
```
LaPr7Tm12
1.0
-5.653 4.198 6.763
-5.586 -3.446 -7.228
4.995 -7.351 4.040
Tm Pr La
12 7 1
Direct
0.000 0.749 0.251
0.251 0.000 0.749
0.502 0.251 0.251
0.251 0.502 0.251
0.749 0.749 0.498
0.749 0.498 0.749
0.749 0.000 0.251
0.749 0.251 0.000
0.000 0.251 0.749
0.251 0.749 0.000
0.251 0.251 0.502
0.498 0.749 0.749
0.000 0.500 0.500
0.500 0.500 0.000
0.000 0.500 0.000
0.500 0.000 0.500
0.500 0.000 0.000
0.000 0.000 0.500
0.500 0.500 0.500
0.000 0.000 0.000
```



Entry 15:
LiHo3Hg3: relaxed, GGA-PBE.

Summary:
Mass density = 10.3 g cm⁻³
Energy of formation = -0.284 eV per atom

POSCAR file:
```
LiHo3Hg3
1.0
6.574 0.702 0.157
-2.300 6.198 0.157
-0.511 -0.826 8.334
Hg Ho Li
6 6 2
Direct
0.110 0.452 0.280
0.548 0.890 0.720
0.890 0.548 0.720
0.956 0.956 0.196
0.044 0.044 0.804
0.452 0.110 0.280
0.750 0.250 0.000
0.392 0.392 0.671
0.250 0.750 0.000
0.608 0.608 0.329
0.824 0.176 0.500
0.176 0.824 0.500
0.274 0.274 0.047
0.726 0.726 0.953
```



Entry 16:
BaInCu2Ir: relaxed, GGA-PBE.

Summary:
Mass density = 5.3 g cm⁻³
Energy of formation = 2.065 eV per atom

POSCAR file:
```
BaInCu2Ir
1.0
5.308 0.000 0.000
0.000 6.370 0.000
0.000 0.000 5.308
Ir Cu In Ba
1 2 1 1
Direct
0.500 0.500 0.500
0.000 0.000 0.500
0.500 0.000 0.000
0.000 0.500 0.000
0.000 0.000 0.000
```



Entry 17:
Ba3GaAg: relaxed, GGA-PBE.

Summary:
Mass density = 3.7 g cm⁻³
Energy of formation = 0.065 eV per atom

POSCAR file:
```
Ba3GaAg
1.0
6.426 0.000 0.000
0.000 6.426 0.000
0.000 0.000 6.426
Ba Ga Ag
3 1 1
Direct
0.000 0.000 0.500
0.500 0.000 0.000
0.000 0.500 0.000
0.000 0.000 0.000
0.500 0.500 0.500
```



Entry 18:
PrNi3: relaxed, GGA-PBE.

Summary:
Mass density = 7.7 g cm⁻³
Energy of formation = -0.245 eV per atom

POSCAR file:
```
PrNi3
1.0
-2.999 2.754 -0.393
-3.837 -1.000 1.004
-1.519 2.060 4.624
Ni Pr
3 1
Direct
0.056 0.056 0.833
0.750 0.750 0.750
0.444 0.444 0.667
0.250 0.250 0.250
```



Entry 19:
Pr2NiBPt6: relaxed, GGA-PBE.

Summary:
Mass density = 13.8 g cm⁻³
Energy of formation = -0.756 eV per atom

POSCAR file:
```
Pr2NiBPt6
1.0
-3.464 4.518 0.082
-5.655 -4.307 -1.630
-6.407 -1.383 3.197
Ni Pt Pr B
1 6 2 1
Direct
0.000 0.000 0.000
0.215 0.263 0.048
0.263 0.215 0.474
0.737 0.263 0.048
0.785 0.737 0.952
0.737 0.785 0.526
0.263 0.737 0.952
0.290 0.709 0.419
0.710 0.291 0.581
0.500 0.500 0.000
```



Entry 20:
PmSm2Br: relaxed, GGA-PBE.

Summary:
Mass density = 6.9 g cm⁻³
Calculated total energy = -4.490 eV per atom

POSCAR file:
```
PmSm2Br
1.0
3.726 0.000 0.000
1.863 3.227 0.000
1.863 1.076 10.515
Sm Pm Br
2 1 1
Direct
0.259 0.259 0.223
0.075 0.075 0.776
0.500 0.500 0.501
0.667 0.667 0.000
```



Entry 21:
Er3Te2Ir: relaxed, GGA-PBE.

Summary:
Mass density = 8.7 g cm⁻³
Calculated total energy = -5.809 eV per atom

POSCAR file:
```
Er3Te2Ir
1.0
4.154 0.000 0.000
0.000 5.957 0.000
0.000 -2.979 7.280
Er Ir Te
3 1 2
Direct
0.000 0.500 0.000
0.500 0.122 0.245
0.500 0.878 0.755
0.000 0.000 0.000
0.500 0.660 0.320
0.500 0.340 0.680
```



Entry 22:
HoPdO: relaxed, GGA-PBE.

Summary:
Mass density = 9.9 g cm⁻³
Calculated total energy = -6.888 eV per atom

POSCAR file:
```
HoPdO
1.0
3.529 0.000 0.000
0.000 3.440 0.000
0.000 0.000 15.809
O Pd Ho
4 4 4
Direct
0.766 0.250 0.194
0.734 0.250 0.694
0.234 0.750 0.806
0.266 0.750 0.306
0.750 0.750 0.486
0.250 0.250 0.514
0.250 0.250 0.014
0.750 0.750 0.986
0.766 0.250 0.336
0.234 0.750 0.664
0.734 0.250 0.836
0.266 0.750 0.164
```



Entry 23:
CoP2: relaxed, GGA-PBE.

Summary:
Mass density = 5.3 g cm⁻³
Energy of formation = -0.114 eV per atom

POSCAR file:
```
CoP2
1.0
-0.896 -0.680 -2.846
-0.654 -1.902 2.306
-4.018 2.260 0.725
Co P
1 2
Direct
0.000 0.000 0.000
0.333 0.667 0.307
0.667 0.333 0.693
```



Entry 24:
ScTa2Be6: relaxed, GGA-PBE.

Summary:
Mass density = 7.0 g cm⁻³
Energy of formation = -0.131 eV per atom

POSCAR file:
```
ScTa2Be6
1.0
-2.729 -0.249 -1.250
2.677 -2.414 -5.363
-1.822 -3.963 4.768
Ta Be Sc
2 6 1
Direct
0.000 0.333 0.667
0.000 0.667 0.333
0.500 0.000 0.339
0.500 0.000 0.661
0.500 0.339 0.000
0.500 0.661 0.000
0.500 0.661 0.661
0.500 0.339 0.339
0.000 0.000 0.000
```